The following is a PBE-GGA calculation of an optimized crystal structure of Pr3Nd2Dy8, from Alexandria via LeMat-Bulk.

Results
energy	-4.65	eV per atom
energy of formation from the pure elements	0.25	eV/f.u.
excess energy over the best structure of this formula in the dataset	0.0	meV per atom

a = 6.239 Å, b = 6.251 Å, c = 11.380 Å
α = 89.88°, β = 79.39°, γ = 80.37°
Fractional coordinates of all 13 atoms:
Pr 0.000 0.000 0.000
Pr 0.231 0.462 0.079
Pr 0.769 0.538 0.921
Nd 0.384 0.769 0.462
Nd 0.616 0.231 0.538
Dy 0.076 0.153 0.691
Dy 0.153 0.307 0.385
Dy 0.308 0.614 0.767
Dy 0.463 0.925 0.156
Dy 0.537 0.075 0.844
Dy 0.692 0.386 0.233
Dy 0.847 0.693 0.615
Dy 0.924 0.847 0.309

The following is a PBE-GGA calculation of an optimized crystal structure of MnFeC3, from Alexandria via LeMat-Bulk.

Results
energy	-6.86	eV per atom
energy of formation from the pure elements	10.99	eV/f.u.
excess energy over the best structure of this formula in the dataset	316.0	meV per atom

a = 3.667 Å, b = 3.667 Å, c = 3.667 Å
α = 90.00°, β = 90.00°, γ = 90.00°
Fractional coordinates of all 5 atoms:
Mn 0.000 0.000 0.000
Fe 0.500 0.500 0.500
C 0.000 0.500 0.500
C 0.500 0.000 0.500
C 0.500 0.500 0.000

The following is a PBE-GGA calculation of an optimized crystal structure of NaB2Br8, from Alexandria via LeMat-Bulk.

Results
energy	-3.11	eV per atom
ΔE_f (raw)	-0.563	eV/atom

a = 8.056 Å, b = 8.056 Å, c = 6.300 Å
α = 93.30°, β = 93.30°, γ = 89.79°
Fractional coordinates of all 11 atoms:
Na 0.000 0.000 0.000
B 0.216 0.216 0.592
B 0.784 0.784 0.408
Br 0.018 0.724 0.319
Br 0.230 0.230 0.276
Br 0.276 0.982 0.681
Br 0.376 0.376 0.749
Br 0.624 0.624 0.251
Br 0.724 0.018 0.319
Br 0.770 0.770 0.724
Br 0.982 0.276 0.681

The following is a PBE-GGA calculation of an optimized crystal structure of ZrSc2Tl, from Alexandria via LeMat-Bulk.

Results
energy	-5.94	eV per atom
energy of formation from the pure elements	-0.17	eV/f.u.
excess energy over the best structure of this formula in the dataset	125.3	meV per atom

a = 3.517 Å, b = 4.993 Å, c = 5.275 Å
α = 90.00°, β = 90.00°, γ = 90.00°
Fractional coordinates of all 4 atoms:
Zr 0.000 0.000 0.000
Sc 0.000 0.500 0.500
Sc 0.500 0.500 0.000
Tl 0.500 0.000 0.500

The following is a PBE-GGA calculation of an optimized crystal structure of Mg2InNi, from Alexandria via LeMat-Bulk.

Results
energy	-3.00	eV per atom
energy of formation from the pure elements	-0.29	eV/f.u.

a = 4.636 Å, b = 4.636 Å, c = 4.636 Å
α = 60.00°, β = 60.00°, γ = 60.00°
Fractional coordinates of all 4 atoms:
Mg 0.000 0.000 0.000
Mg 0.250 0.250 0.250
In 0.750 0.750 0.750
Ni 0.500 0.500 0.500

The following is a PBE-GGA calculation of an optimized crystal structure of La3CoH, from Alexandria via LeMat-Bulk.

Results
energy	-4.87	eV per atom
excess energy over the best structure of this formula in the dataset	312.2	meV per atom

a = 4.912 Å, b = 4.912 Å, c = 4.912 Å
α = 90.00°, β = 90.00°, γ = 90.00°
Fractional coordinates of all 5 atoms:
La 0.000 0.000 0.500
La 0.000 0.500 0.000
La 0.500 0.000 0.000
Co 0.500 0.500 0.500
H 0.000 0.000 0.000

The following is a PBE-GGA calculation of an optimized crystal structure of Tl2CdCl, from Alexandria via LeMat-Bulk.

Results
energy	-2.18	eV per atom
ΔE_f (raw)	-0.308	eV/atom
excess energy over the best structure of this formula in the dataset	77.8	meV per atom

a = 10.136 Å, b = 10.136 Å, c = 10.136 Å
α = 21.19°, β = 21.19°, γ = 21.19°
Fractional coordinates of all 4 atoms:
Tl 0.000 0.000 0.000
Tl 0.182 0.182 0.182
Cd 0.424 0.424 0.424
Cl 0.591 0.591 0.591

The following is a PBE-GGA calculation of an optimized crystal structure of Al2PbBr, from Alexandria via LeMat-Bulk.

Results
energy	-3.22	eV per atom
ΔE_f (raw)	-0.007	eV/atom
excess energy over the best structure of this formula in the dataset	75.7	meV per atom

a = 3.477 Å, b = 3.477 Å, c = 9.940 Å
α = 90.00°, β = 90.00°, γ = 120.09°
Fractional coordinates of all 4 atoms:
Al 0.000 0.000 0.000
Al 0.500 0.500 0.207
Pb 0.000 0.000 0.450
Br 0.500 0.500 0.809

The following is a PBE-GGA calculation of an optimized crystal structure of NaRe3F, from Alexandria via LeMat-Bulk.

Results
energy	-6.38	eV per atom
ΔE_f (raw)	1.731	eV/atom
excess energy over the best structure of this formula in the dataset	0.0	meV per atom

a = 4.288 Å, b = 4.288 Å, c = 4.288 Å
α = 90.00°, β = 90.00°, γ = 90.00°
Fractional coordinates of all 5 atoms:
Na 0.000 0.000 0.000
Re 0.000 0.500 0.500
Re 0.500 0.000 0.500
Re 0.500 0.500 0.000
F 0.500 0.500 0.500

The following is a PBE-GGA calculation of an optimized crystal structure of Li2AcSn, from Alexandria via LeMat-Bulk.

Results
energy	-3.16	eV per atom
energy of formation from the pure elements	-0.69	eV/f.u.
excess energy over the best structure of this formula in the dataset	234.0	meV per atom

a = 3.819 Å, b = 3.819 Å, c = 7.241 Å
α = 90.00°, β = 90.00°, γ = 90.00°
Fractional coordinates of all 4 atoms:
Li 0.000 0.000 0.189
Li 0.000 0.000 0.811
Ac 0.500 0.500 0.500
Sn 0.500 0.500 0.000

The following is a PBE-GGA calculation of an optimized crystal structure of BaGeS3, from Alexandria via LeMat-Bulk.

Results
energy	-4.92	eV per atom
ΔE_f (raw)	-1.138	eV/atom
excess energy over the best structure of this formula in the dataset	0.0	meV per atom

a = 15.889 Å, b = 5.811 Å, c = 13.475 Å
α = 90.00°, β = 114.81°, γ = 90.00°
Fractional coordinates of all 40 atoms:
Ba 0.134 0.245 0.105
Ba 0.134 0.255 0.605
Ba 0.365 0.748 0.471
Ba 0.365 0.752 0.971
Ba 0.635 0.248 0.029
Ba 0.635 0.252 0.529
Ba 0.866 0.745 0.395
Ba 0.866 0.755 0.895
Ge 0.075 0.664 0.310
Ge 0.075 0.836 0.810
Ge 0.426 0.165 0.737
Ge 0.426 0.335 0.237
Ge 0.574 0.665 0.763
Ge 0.574 0.835 0.263
Ge 0.925 0.164 0.190
Ge 0.925 0.336 0.690
S 0.071 0.233 0.812
S 0.071 0.267 0.312
S 0.096 0.749 0.477
S 0.096 0.751 0.977
S 0.180 0.743 0.250
S 0.180 0.757 0.750
S 0.321 0.246 0.572
S 0.321 0.254 0.072
S 0.405 0.250 0.384
S 0.405 0.250 0.884
S 0.428 0.732 0.240
S 0.428 0.768 0.740
S 0.572 0.232 0.260
S 0.572 0.268 0.760
S 0.595 0.750 0.116
S 0.595 0.750 0.616
S 0.679 0.746 0.928
S 0.679 0.754 0.428
S 0.820 0.243 0.250
S 0.820 0.257 0.750
S 0.904 0.249 0.023
S 0.904 0.251 0.523
S 0.929 0.733 0.688
S 0.929 0.767 0.188

The following is a PBE-GGA calculation of an optimized crystal structure of Na2CeMnS4, from Alexandria via LeMat-Bulk.

Results
energy	-5.56	eV per atom
ΔE_f (raw)	-1.279	eV/atom

a = 7.873 Å, b = 7.873 Å, c = 7.873 Å
α = 121.67°, β = 118.03°, γ = 90.30°
Fractional coordinates of all 16 atoms:
Na 0.000 0.000 0.000
Na 0.500 0.000 0.000
Na 0.500 0.000 0.500
Na 0.500 0.500 0.500
Ce 0.000 0.500 0.500
Ce 0.500 0.500 0.000
Mn 0.000 0.000 0.500
Mn 0.000 0.500 0.000
S 0.209 0.745 0.464
S 0.219 0.255 0.964
S 0.244 0.253 0.509
S 0.244 0.734 0.991
S 0.756 0.266 0.009
S 0.756 0.747 0.491
S 0.781 0.745 0.036
S 0.791 0.255 0.536